Density functional theory data (GGA-PBE) for crystalline MnCu2Ag at its relaxed geometry.

Calculated values
Calculated density (g/cm³): 8.45
Offset from the most stable computed form (meV/atom): 64
Formation energy (eV per atom): 0.21
Space group: No. 216

Unit cell a=4.319 b=4.319 c=4.319 alpha=60.00 beta=60.00 gamma=60.00
Fractional positions:
Mn (0.000, 0.000, 0.000)
Cu (0.500, 0.500, 0.500)
Cu (0.750, 0.750, 0.750)
Ag (0.250, 0.250, 0.250)